The following is a DFT calculation (PBE-GGA) of a relaxed AgHgF2 crystal.

Calculated values
The density of states at the Fermi level comes out at 1.8 states/eV/cell. Its space group is I-42d.

POSCAR file:
```
AgHgF2
1.0
-1.3715 3.1935 4.4022
-4.4977 -2.6502 -2.0507
3.7411 -3.8348 1.6604
Ag Hg F
2 2 4
Direct
0.5000 0.5000 0.0000
0.7500 0.2500 0.5000
0.0000 0.0000 0.0000
0.2500 0.7500 0.5000
0.8636 0.3750 0.9886
0.3864 0.8750 0.0114
0.1250 0.1364 0.5114
0.6250 0.6136 0.4886
```


The following is a DFT calculation (PBE-GGA) of a relaxed AgHg3F crystal.

Calculated values
The density of states at the Fermi level comes out at 2.9 states/eV/cell. Its space group is Pm-3m.

POSCAR file:
```
AgHg3F
1.0
5.0668 0.0000 0.0000
0.0000 5.0668 0.0000
0.0000 0.0000 5.0668
Hg Ag F
3 1 1
Direct
0.0000 0.5000 0.0000
0.0000 0.0000 0.5000
0.5000 0.0000 0.0000
0.5000 0.5000 0.5000
0.0000 0.0000 0.0000
```


The following is a DFT calculation (PBE-GGA) of a relaxed AgHg2F2 crystal.

Calculated values
The density of states at the Fermi level comes out at 4.0 states/eV/cell. Its space group is P4/mbm.

POSCAR file:
```
AgHg2F2
1.0
-0.2460 5.7846 4.7671
-5.5152 3.0905 -4.0347
-2.0511 -1.4699 1.6778
Hg Ag F
4 2 4
Direct
0.1655 0.6655 0.5000
0.6655 0.8345 0.5000
0.8345 0.3345 0.5000
0.3345 0.1655 0.5000
0.0000 0.0000 0.0000
0.5000 0.5000 0.0000
0.3729 0.8729 0.0000
0.8729 0.6271 0.0000
0.6271 0.1271 0.0000
0.1271 0.3729 0.0000
```


Distance to the lowest polymorph of the same formula for every record listed, in sequence, given in eV per atom: 0.020 0.156 0.241.
Formation energy (no corrections) for every record listed, in sequence, given in meV/atom: -922 5 -611.